(1)
Here is a relaxed structure of RbMgIn3 from the Alexandria database. Energies are from PBE.

POSCAR file:
```
RbMgIn3
1.0
-2.114 -4.914 1.880
4.078 -0.249 3.933
-3.325 2.818 3.627
Mg Rb In
1 1 3
Direct
0.000 0.000 0.000 Mg
0.500 0.500 0.500 Rb
0.000 0.500 0.000 In
0.000 0.000 0.500 In
0.500 0.000 0.000 In
```

## Properties
calculated total energy: -2.012 eV per atom
ΔE to the lowest computed polymorph: 0.591 eV/f.u.
energy relative to the elements: 143 meV/atom

=====

(2)
Here is a relaxed structure of RbMg4In8 from the Alexandria database. Energies are from PBE.

POSCAR file:
```
RbMg4In8
1.0
-4.485 3.323 2.749
-5.895 2.095 -5.109
-5.897 -4.625 3.013
Rb Mg In
1 4 8
Direct
0.000 0.000 0.000 Rb
0.000 0.000 0.500 Mg
0.500 0.000 0.500 Mg
0.000 0.500 0.000 Mg
0.500 0.500 0.000 Mg
0.000 0.349 0.651 In
0.000 0.651 0.349 In
0.349 0.651 0.651 In
0.651 0.349 0.349 In
0.500 0.778 0.222 In
0.500 0.222 0.778 In
0.278 0.222 0.222 In
0.722 0.778 0.778 In
```

## Properties
calculated total energy: -2.322 eV per atom
energy relative to the elements: -72 meV/atom

=====

(3)
Here is a relaxed structure of RbMg6In4 from the Alexandria database. Energies are from PBE.

POSCAR file:
```
RbMg6In4
1.0
4.710 0.000 0.000
0.000 7.375 -4.258
0.000 0.000 8.516
Rb Mg In
1 6 4
Direct
0.000 0.000 0.000 Rb
0.000 0.532 0.064 Mg
0.500 0.587 0.793 Mg
0.000 0.532 0.468 Mg
0.000 0.936 0.468 Mg
0.500 0.207 0.793 Mg
0.500 0.207 0.413 Mg
0.500 0.794 0.589 In
0.500 0.411 0.206 In
0.500 0.794 0.206 In
0.000 0.333 0.667 In
```

## Properties
calculated total energy: -2.036 eV per atom
energy relative to the elements: -83 meV/atom

=====

Look up the energy relative to the elements of the first one. 143 meV/atom